# RbBe3Sb, relaxed, DFT PBE-GGA
data_RbBe3Sb
_chemical_formula_sum 'Rb1 Be3 Sb1'
_cell_length_a 5.150
_cell_length_b 5.150
_cell_length_c 5.150
_cell_angle_alpha 90.00
_cell_angle_beta 90.00
_cell_angle_gamma 90.00
_space_group_name_H-M_alt 'P 1'
_space_group_IT_number 1
loop_
_space_group_symop_operation_xyz
'x,y,z'
loop_
_atom_site_label
_atom_site_type_symbol
_atom_site_fract_x
_atom_site_fract_y
_atom_site_fract_z
Rb1 Rb 0.000 0.000 0.000
Be1 Be 0.000 0.000 0.500
Be2 Be 0.000 0.500 0.000
Be3 Be 0.500 0.000 0.000
Sb1 Sb 0.500 0.500 0.500
# - Fermi-level density of states: 4.55 states/eV/f.u.
# - Distance to the lowest polymorph of the same formula: 5.885 eV/f.u.
# - Raw formation energy: 2.32 eV/atom
# - Symmetry: Pm-3m
# - Theoretical density: 2.85 Mg/m³
# - Electronic total energy: -0.069 Ry per atom

# NaMgZrBe2, relaxed, DFT PBE-GGA
data_NaMgZrBe2
_chemical_formula_sum 'Na1 Mg1 Zr1 Be2'
_cell_length_a 4.483
_cell_length_b 4.483
_cell_length_c 4.521
_cell_angle_alpha 90.00
_cell_angle_beta 90.00
_cell_angle_gamma 90.00
_space_group_name_H-M_alt 'P 1'
_space_group_IT_number 1
loop_
_space_group_symop_operation_xyz
'x,y,z'
loop_
_atom_site_label
_atom_site_type_symbol
_atom_site_fract_x
_atom_site_fract_y
_atom_site_fract_z
Na1 Na 0.000 0.000 0.000
Mg1 Mg 0.000 0.000 0.500
Zr1 Zr 0.500 0.500 0.000
Be1 Be 0.000 0.500 0.500
Be2 Be 0.500 0.000 0.500
# - Fermi-level density of states: 1.69 states/eV/f.u.
# - Formation energy from the elements: 1.049 eV/atom
# - Symmetry: P4/mmm
# - Theoretical density: 2.86 Mg/m³
# - Electronic total energy: -0.201 Ry per atom

# Tc2OsRu, relaxed, DFT PBE-GGA
data_Tc2OsRu
_chemical_formula_sum 'Tc2 Os1 Ru1'
_cell_length_a 2.680
_cell_length_b 2.680
_cell_length_c 9.078
_cell_angle_alpha 90.00
_cell_angle_beta 90.00
_cell_angle_gamma 116.07
_space_group_name_H-M_alt 'P 1'
_space_group_IT_number 1
loop_
_space_group_symop_operation_xyz
'x,y,z'
loop_
_atom_site_label
_atom_site_type_symbol
_atom_site_fract_x
_atom_site_fract_y
_atom_site_fract_z
Tc1 Tc 0.000 0.000 0.249
Tc2 Tc 0.000 0.000 0.751
Os1 Os 0.500 0.500 0.500
Ru1 Ru 0.500 0.500 0.000
# - Fermi-level density of states: 4.75 states/eV/f.u.
# - Distance to the lowest polymorph of the same formula: 2.055 eV/f.u.
# - Formation energy from the elements: 0.436 eV/atom
# - Symmetry: Cmmm
# - Theoretical density: 13.81 Mg/m³
# - Electronic total energy: -0.726 Ry per atom